MgMnSb2 | PBE | optimized geometry

Cell lengths 7.1934, 7.1934, 7.1934 Å; angles 90.00, 90.00, 90.00 degrees
Space group F-43m (No. 216)
Asymmetric unit:
Mg (0.0000, 0.0000, 0.0000)
Mn (0.2500, 0.2500, 0.7500)
Sb (0.0000, 0.0000, 0.5000)
Sb (0.2500, 0.2500, 0.2500)

As for the density: 5.8 Mg/m³. The total energy comes out at -70.63 eV for the cell shown. As for the uncorrected formation energy: 1.4 eV/f.u.